[1]
SrSi2Bi, relaxed, DFT GGA-PBE; crystal system = tetragonal; formation energy (no corrections) = 21 kJ per mole of atoms; magnetic moment = 0.00 μB per cell; electronic total energy = -3.889 eV per atom
1.0
-1.5059 6.5363 4.7698
-7.8799 -2.2873 0.6467
-3.9557 0.3417 5.3841
Si Sr Bi
4 2 2
direct
0.3750 0.3442 0.7500
0.8750 0.9058 0.7500
0.6558 0.1250 0.2500
0.0942 0.6250 0.2500
0.5000 0.5000 0.0000
0.2500 0.7500 0.5000
0.7500 0.2500 0.5000
0.0000 0.0000 0.0000


[2]
AcCd11In, relaxed, DFT GGA-PBE; formation energy = -122 meV/atom; crystal system = monoclinic; magnetic moment = 0.00 μB per cell; electronic total energy = -1.423 eV per atom
1.0
-0.9228 5.9319 -0.7891
-7.5031 1.8141 -0.9082
-1.1213 3.8137 6.7501
Cd In Ac
11 1 1
direct
0.0000 0.0000 0.5000
0.7210 0.7874 0.7843
0.2790 0.2126 0.2157
0.5053 0.7874 0.2157
0.4947 0.2126 0.7843
0.6484 0.3540 0.3578
0.0062 0.3540 0.6422
0.3516 0.6460 0.6422
0.0000 0.5000 0.0000
0.9938 0.6460 0.3578
0.5000 0.0000 0.5000
0.5000 0.5000 0.0000
0.0000 0.0000 0.0000


[3]
BCl, relaxed, DFT GGA-PBE; crystal system = cubic; formation energy (no corrections) = -62 kJ per mole of atoms; magnetic moment = 0.01 μB per cell; electronic total energy = -4.902 eV per atom; energy above the lowest structure with this stoichiometry = 0.0 kJ per mole of atoms
1.0
-11.1913 3.7887 -5.3136
-6.5231 -6.1787 9.3332
0.1952 10.7380 7.2452
B Cl
48 48
direct
0.0339 0.3728 0.5237
0.5929 0.9244 0.5589
0.9661 0.8728 0.9763
0.5339 0.3728 0.9763
0.1272 0.0237 0.0339
0.5589 0.5929 0.9244
0.9071 0.0756 0.0589
0.9763 0.5339 0.3728
0.4763 0.5339 0.1272
0.4763 0.9661 0.6272
0.8728 0.9763 0.9661
0.9411 0.4071 0.4244
0.9763 0.9661 0.8728
0.0929 0.5756 0.4411
0.6272 0.0237 0.4661
0.8728 0.5237 0.4661
0.9411 0.0929 0.9244
0.0756 0.0589 0.9071
0.0339 0.1272 0.0237
0.4411 0.4071 0.0756
0.5237 0.0339 0.3728
0.9071 0.4244 0.5589
0.4661 0.6272 0.0237
0.5756 0.0589 0.5929
0.4244 0.5589 0.9071
0.0589 0.9071 0.0756
0.0237 0.0339 0.1272
0.5589 0.9071 0.4244
0.6272 0.4763 0.9661
0.0756 0.4411 0.4071
0.1272 0.4763 0.5339
0.4411 0.0929 0.5756
0.5929 0.5756 0.0589
0.3728 0.9763 0.5339
0.0929 0.9244 0.9411
0.5237 0.4661 0.8728
0.9244 0.9411 0.0929
0.4071 0.0756 0.4411
0.4244 0.9411 0.4071
0.4661 0.8728 0.5237
0.0237 0.4661 0.6272
0.5756 0.4411 0.0929
0.9244 0.5589 0.5929
0.4071 0.4244 0.9411
0.0589 0.5929 0.5756
0.3728 0.5237 0.0339
0.5339 0.1272 0.4763
0.9661 0.6272 0.4763
0.9324 0.7434 0.9530
0.4324 0.7434 0.5470
0.2434 0.9530 0.5676
0.6871 0.6525 0.1190
0.5470 0.0676 0.2434
0.5676 0.2566 0.4530
0.0676 0.2434 0.5470
0.7434 0.9530 0.9324
0.2566 0.0470 0.0676
0.1525 0.3810 0.3129
0.1525 0.1190 0.8129
0.3129 0.3475 0.8810
0.4530 0.9324 0.7566
0.4324 0.7566 0.0470
0.8129 0.3475 0.6190
0.9530 0.5676 0.2434
0.0470 0.0676 0.2566
0.2434 0.5470 0.0676
0.9324 0.7566 0.4530
0.8810 0.1871 0.8475
0.0676 0.2566 0.0470
0.9530 0.9324 0.7434
0.1190 0.6871 0.6525
0.3475 0.6190 0.8129
0.3129 0.1525 0.3810
0.8475 0.8810 0.1871
0.1871 0.8475 0.8810
0.0470 0.4324 0.7566
0.4530 0.5676 0.2566
0.6190 0.6871 0.8475
0.5470 0.4324 0.7434
0.7566 0.0470 0.4324
0.6525 0.1190 0.6871
0.6871 0.8475 0.6190
0.1190 0.8129 0.1525
0.1871 0.6525 0.3810
0.8129 0.1525 0.1190
0.8475 0.6190 0.6871
0.5676 0.2434 0.9530
0.2566 0.4530 0.5676
0.8810 0.3129 0.3475
0.3810 0.1871 0.6525
0.7434 0.5470 0.4324
0.6190 0.8129 0.3475
0.6525 0.3810 0.1871
0.3475 0.8810 0.3129
0.7566 0.4530 0.9324
0.3810 0.3129 0.1525


[4]
BaMgSn2Pd, relaxed, DFT GGA-PBE; formation energy = -566 meV/atom; crystal system = tetragonal; magnetic moment = 0.00 μB per cell; electronic total energy = -3.909 eV per atom
1.0
4.7301 0.0000 0.0000
0.0000 4.7301 0.0000
-2.3651 -2.3651 6.0340
Ba Mg Sn Pd
1 1 2 1
direct
0.0000 0.0000 0.0000
0.7500 0.2500 0.5000
0.6224 0.6224 0.2447
0.3776 0.3776 0.7553
0.2500 0.7500 0.5000


[5]
LiAgRu2, relaxed, DFT GGA-PBE; formation energy = 426 meV/atom; crystal system = orthorhombic; magnetic moment = 0.00 μB per cell; electronic total energy = -5.403 eV per atom; energy above the lowest structure with this stoichiometry = 24.3 kJ per mole of atoms
1.0
-4.9543 0.4438 -0.3567
-1.9760 -2.2459 -3.9901
2.6166 -0.6953 4.1880
Ag Ru Li
1 2 1
direct
0.5157 0.5157 0.0000
0.2401 0.7401 0.5000
0.9940 0.9940 0.0000
0.7502 0.2502 0.5000


[6]
SrAg2Cl, relaxed, DFT GGA-PBE; crystal system = monoclinic; formation energy (no corrections) = -74 kJ per mole of atoms; magnetic moment = 0.00 μB per cell; electronic total energy = -3.075 eV per atom; energy above the lowest structure with this stoichiometry = 0.0 kJ per mole of atoms
1.0
-3.8161 0.2655 -0.9574
0.0215 -3.8257 -1.1465
-1.7420 -3.8102 5.8867
Ag Sr Cl
2 1 1
direct
0.5000 0.2664 0.0987
0.0000 0.7646 0.1026
0.5000 0.9471 0.7259
0.0000 0.5219 0.5727